First-principles (PBE) data for crystalline PrNpTe2O at its relaxed geometry, as listed in Alexandria.

Cell: 4.194 4.194 16.196 Å, 90.00 90.00 90.00°
Site moments in Bohr magnetons follow the coordinates.
Positions (direct):
1 Pr 0.500 0.000 0.140  -0.01
2 Pr 0.000 0.500 0.860  -0.01
3 Np 0.500 0.000 0.566  -3.76
4 Np 0.000 0.500 0.434  -3.76
5 Te 0.000 0.500 0.670  0.07
6 Te 0.000 0.500 0.081  0.00
7 Te 0.500 0.000 0.919  0.00
8 Te 0.500 0.000 0.330  0.07
9 O 0.000 0.000 0.500  0.11
10 O 0.500 0.500 0.500  0.11

Output
Magnetic moment ... 7.45 Bohr magnetons per cell
Total energy ... -75.4 eV for the cell shown
SG ... P4/nmm (129)
DOS(E_F) ... 11.396 states/eV/cell
Uncorrected formation energy ... -1.75 eV per atom
Crystal system ... tetragonal